No. 1
# Sr2CaCd (PBE, relaxed)
# Volume: 164 Å³/f.u.
# Formation energy from the elements: -158 meV per atom
data_Sr2CaCd
_chemical_formula_sum 'Sr2 Ca1 Cd1'
_cell_length_a 4.069
_cell_length_b 4.069
_cell_length_c 9.896
_cell_angle_alpha 90.00
_cell_angle_beta 90.00
_cell_angle_gamma 90.00
_space_group_name_H-M_alt 'P 4/m m m'
_space_group_IT_number 123
_space_group_name_Hall '-P 4 2'
loop_
_atom_site_label
_atom_site_type_symbol
_atom_site_fract_x
_atom_site_fract_y
_atom_site_fract_z
Sr1 Sr 0.000 0.000 0.201
Ca1 Ca 0.500 0.500 0.500
Cd1 Cd 0.500 0.500 0.000



No. 2
# Sr8Ca2Cd (PBE, relaxed)
# Volume: 533 Å³/f.u.
# Formation energy from the elements: -12 meV per atom
data_Sr8Ca2Cd
_chemical_formula_sum 'Sr16 Ca4 Cd2'
_cell_length_a 21.642
_cell_length_b 6.484
_cell_length_c 7.601
_cell_angle_alpha 90.00
_cell_angle_beta 90.37
_cell_angle_gamma 90.00
_space_group_name_H-M_alt 'C 1 2/m 1'
_space_group_IT_number 12
loop_
_space_group_symop_operation_xyz
'x,y,z'
'-x,-y,-z'
'-x,y,-z'
'x,-y,z'
'x+1/2,y+1/2,z'
'-x+1/2,-y+1/2,-z'
'-x+1/2,y+1/2,-z'
'x+1/2,-y+1/2,z'
loop_
_atom_site_label
_atom_site_type_symbol
_atom_site_fract_x
_atom_site_fract_y
_atom_site_fract_z
Sr1 Sr 0.039 0.000 0.245
Sr2 Sr 0.082 0.500 0.609
Sr3 Sr 0.156 0.500 0.121
Sr4 Sr 0.158 0.000 0.816
Ca1 Ca 0.232 0.000 0.347
Cd1 Cd 0.000 0.500 0.000



No. 3
# SrCa5Cd4 (PBE, relaxed)
# Volume: 320 Å³/f.u.
# Formation energy from the elements: -278 meV per atom
data_SrCa5Cd4
_chemical_formula_sum 'Sr1 Ca5 Cd4'
_cell_length_a 3.909
_cell_length_b 3.909
_cell_length_c 20.971
_cell_angle_alpha 90.00
_cell_angle_beta 90.00
_cell_angle_gamma 90.00
_space_group_name_H-M_alt 'P 4/m m m'
_space_group_IT_number 123
_space_group_name_Hall '-P 4 2'
loop_
_atom_site_label
_atom_site_type_symbol
_atom_site_fract_x
_atom_site_fract_y
_atom_site_fract_z
Sr1 Sr 0.000 0.000 0.000
Ca1 Ca 0.500 0.500 0.145
Ca2 Ca 0.500 0.500 0.322
Ca3 Ca 0.500 0.500 0.500
Cd1 Cd 0.000 0.000 0.231
Cd2 Cd 0.000 0.000 0.411



Question: Number 2 is which compound?
Answer: Sr8Ca2Cd